No. 1
AcNdAgSb: relaxed, PBE-GGA.

Output
**Mass density**: 8.27 Mg/m³
**DOS at the Fermi energy**: 4.79 states/eV/f.u.
**Calculated volume**: 120.6 Å³/f.u.
**Space group**: F-43m, No. 216
**Energy**: -4.5237 eV/atom
**Uncorrected formation energy**: -0.561 eV/atom

The structure in CIF format:
```
data_AcNdAgSb
_chemical_formula_sum 'Ac1 Nd1 Ag1 Sb1'
_cell_length_a 5.545
_cell_length_b 5.545
_cell_length_c 5.545
_cell_angle_alpha 60.00
_cell_angle_beta 60.00
_cell_angle_gamma 60.00
_symmetry_space_group_name_H-M 'P 1'
_symmetry_Int_Tables_number 1
loop_
_symmetry_equiv_pos_as_xyz
'x,y,z'
loop_
_atom_site_label
_atom_site_type_symbol
_atom_site_fract_x
_atom_site_fract_y
_atom_site_fract_z
_atom_site_occupancy
Ac1 Ac 0.000 0.000 0.000 1
Nd1 Nd 0.500 0.500 0.500 1
Ag1 Ag 0.750 0.750 0.750 1
Sb1 Sb 0.250 0.250 0.250 1
```

No. 2
Ac2NdAgSe5: relaxed, PBE-GGA.

Output
**Mass density**: 7.18 Mg/m³
**Calculated volume**: 254.5 Å³/f.u.
**Space group**: Cmc2_1, No. 36
**Energy**: -5.3642 eV/atom
**Uncorrected formation energy**: -1.669 eV/atom

The structure in CIF format:
```
data_Ac2NdAgSe5
_chemical_formula_sum 'Ac4 Nd2 Ag2 Se10'
_cell_length_a 9.356
_cell_length_b 9.356
_cell_length_c 12.891
_cell_angle_alpha 90.00
_cell_angle_beta 90.00
_cell_angle_gamma 153.19
_symmetry_space_group_name_H-M 'P 1'
_symmetry_Int_Tables_number 1
loop_
_symmetry_equiv_pos_as_xyz
'x,y,z'
loop_
_atom_site_label
_atom_site_type_symbol
_atom_site_fract_x
_atom_site_fract_y
_atom_site_fract_z
_atom_site_occupancy
Ac1 Ac 0.111 0.889 0.500 1
Ac2 Ac 0.124 0.876 0.124 1
Ac3 Ac 0.876 0.124 0.624 1
Ac4 Ac 0.889 0.111 0.000 1
Nd1 Nd 0.195 0.805 0.823 1
Nd2 Nd 0.805 0.195 0.323 1
Ag1 Ag 0.445 0.555 0.274 1
Ag2 Ag 0.555 0.445 0.774 1
Se1 Se 0.045 0.955 0.887 1
Se2 Se 0.289 0.711 0.483 1
Se3 Se 0.307 0.693 0.162 1
Se4 Se 0.359 0.641 0.816 1
Se5 Se 0.499 0.501 0.587 1
Se6 Se 0.501 0.499 0.087 1
Se7 Se 0.641 0.359 0.316 1
Se8 Se 0.693 0.307 0.662 1
Se9 Se 0.711 0.289 0.983 1
Se10 Se 0.955 0.045 0.387 1
```

No. 3
AcNdSiAg: relaxed, PBE-GGA.

Output
**Mass density**: 7.66 Mg/m³
**DOS at the Fermi energy**: 4.00 states/eV/f.u.
**Calculated volume**: 109.9 Å³/f.u.
**Space group**: F-43m, No. 216
**Energy**: -4.6335 eV/atom
**Uncorrected formation energy**: -0.346 eV/atom

The structure in CIF format:
```
data_AcNdSiAg
_chemical_formula_sum 'Ac1 Nd1 Si1 Ag1'
_cell_length_a 5.377
_cell_length_b 5.377
_cell_length_c 5.377
_cell_angle_alpha 60.00
_cell_angle_beta 60.00
_cell_angle_gamma 60.00
_symmetry_space_group_name_H-M 'P 1'
_symmetry_Int_Tables_number 1
loop_
_symmetry_equiv_pos_as_xyz
'x,y,z'
loop_
_atom_site_label
_atom_site_type_symbol
_atom_site_fract_x
_atom_site_fract_y
_atom_site_fract_z
_atom_site_occupancy
Ac1 Ac 0.000 0.000 0.000 1
Nd1 Nd 0.500 0.500 0.500 1
Si1 Si 0.250 0.250 0.250 1
Ag1 Ag 0.750 0.750 0.750 1
```

No. 4
AcNdAgSn: relaxed, PBE-GGA.

Output
**Mass density**: 8.15 Mg/m³
**DOS at the Fermi energy**: 4.43 states/eV/f.u.
**Calculated volume**: 121.8 Å³/f.u.
**Space group**: F-43m, No. 216
**Energy**: -4.4056 eV/atom

The structure in CIF format:
```
data_AcNdAgSn
_chemical_formula_sum 'Ac1 Nd1 Ag1 Sn1'
_cell_length_a 5.564
_cell_length_b 5.564
_cell_length_c 5.564
_cell_angle_alpha 60.00
_cell_angle_beta 60.00
_cell_angle_gamma 60.00
_symmetry_space_group_name_H-M 'P 1'
_symmetry_Int_Tables_number 1
loop_
_symmetry_equiv_pos_as_xyz
'x,y,z'
loop_
_atom_site_label
_atom_site_type_symbol
_atom_site_fract_x
_atom_site_fract_y
_atom_site_fract_z
_atom_site_occupancy
Ac1 Ac 0.000 0.000 0.000 1
Nd1 Nd 0.500 0.500 0.500 1
Ag1 Ag 0.750 0.750 0.750 1
Sn1 Sn 0.250 0.250 0.250 1
```

No. 5
AcNdAg2Sn2: relaxed, PBE-GGA.

Output
**Mass density**: 8.26 Mg/m³
**DOS at the Fermi energy**: 2.81 states/eV/f.u.
**Calculated volume**: 165.8 Å³/f.u.
**Space group**: P-3m1, No. 164
**Energy**: -4.3631 eV/atom

The structure in CIF format:
```
data_AcNdAg2Sn2
_chemical_formula_sum 'Ac1 Nd1 Ag2 Sn2'
_cell_length_a 4.845
_cell_length_b 4.845
_cell_length_c 8.158
_cell_angle_alpha 90.00
_cell_angle_beta 90.00
_cell_angle_gamma 120.00
_symmetry_space_group_name_H-M 'P 1'
_symmetry_Int_Tables_number 1
loop_
_symmetry_equiv_pos_as_xyz
'x,y,z'
loop_
_atom_site_label
_atom_site_type_symbol
_atom_site_fract_x
_atom_site_fract_y
_atom_site_fract_z
_atom_site_occupancy
Ac1 Ac 0.000 0.000 0.000 1
Nd1 Nd 0.000 0.000 0.500 1
Ag1 Ag 0.333 0.667 0.714 1
Ag2 Ag 0.667 0.333 0.286 1
Sn1 Sn 0.333 0.667 0.265 1
Sn2 Sn 0.667 0.333 0.735 1
```

No. 6
AcNd2Ag2Sn2: relaxed, PBE-GGA.

Output
**Mass density**: 8.10 Mg/m³
**DOS at the Fermi energy**: 4.03 states/eV/f.u.
**Calculated volume**: 198.7 Å³/f.u.
**Space group**: R-3m, No. 166
**Energy**: -4.3564 eV/atom

The structure in CIF format:
```
data_AcNd2Ag2Sn2
_chemical_formula_sum 'Ac1 Nd2 Ag2 Sn2'
_cell_length_a 9.801
_cell_length_b 9.801
_cell_length_c 9.801
_cell_angle_alpha 29.23
_cell_angle_beta 29.23
_cell_angle_gamma 29.23
_symmetry_space_group_name_H-M 'P 1'
_symmetry_Int_Tables_number 1
loop_
_symmetry_equiv_pos_as_xyz
'x,y,z'
loop_
_atom_site_label
_atom_site_type_symbol
_atom_site_fract_x
_atom_site_fract_y
_atom_site_fract_z
_atom_site_occupancy
Ac1 Ac 0.000 0.000 0.000 1
Nd1 Nd 0.136 0.136 0.136 1
Nd2 Nd 0.864 0.864 0.864 1
Ag1 Ag 0.431 0.431 0.431 1
Ag2 Ag 0.569 0.569 0.569 1
Sn1 Sn 0.261 0.261 0.261 1
Sn2 Sn 0.739 0.739 0.739 1
```

No. 7
Ac2NdAg3Sn4: relaxed, PBE-GGA.

Output
**Mass density**: 8.16 Mg/m³
**DOS at the Fermi energy**: 2.91 states/eV/f.u.
**Calculated volume**: 284.2 Å³/f.u.
**Space group**: P-4m2, No. 115
**Energy**: -4.2342 eV/atom

The structure in CIF format:
```
data_Ac2NdAg3Sn4
_chemical_formula_sum 'Ac2 Nd1 Ag3 Sn4'
_cell_length_a 4.781
_cell_length_b 4.781
_cell_length_c 12.432
_cell_angle_alpha 90.00
_cell_angle_beta 90.00
_cell_angle_gamma 90.00
_symmetry_space_group_name_H-M 'P 1'
_symmetry_Int_Tables_number 1
loop_
_symmetry_equiv_pos_as_xyz
'x,y,z'
loop_
_atom_site_label
_atom_site_type_symbol
_atom_site_fract_x
_atom_site_fract_y
_atom_site_fract_z
_atom_site_occupancy
Ac1 Ac 0.000 0.500 0.229 1
Ac2 Ac 0.500 0.000 0.771 1
Nd1 Nd 0.000 0.000 0.500 1
Ag1 Ag 0.000 0.500 0.873 1
Ag2 Ag 0.500 0.000 0.127 1
Ag3 Ag 0.500 0.500 0.500 1
Sn1 Sn 0.000 0.000 0.000 1
Sn2 Sn 0.000 0.500 0.654 1
Sn3 Sn 0.500 0.000 0.346 1
Sn4 Sn 0.500 0.500 0.000 1
```

No. 8
AcTbNdAg: relaxed, PBE-GGA.

Output
**Mass density**: 8.40 Mg/m³
**DOS at the Fermi energy**: 6.45 states/eV/f.u.
**Calculated volume**: 126.1 Å³/f.u.
**Space group**: F-43m, No. 216
**Energy**: -3.9235 eV/atom

The structure in CIF format:
```
data_AcTbNdAg
_chemical_formula_sum 'Ac1 Tb1 Nd1 Ag1'
_cell_length_a 5.629
_cell_length_b 5.629
_cell_length_c 5.629
_cell_angle_alpha 60.00
_cell_angle_beta 60.00
_cell_angle_gamma 60.00
_symmetry_space_group_name_H-M 'P 1'
_symmetry_Int_Tables_number 1
loop_
_symmetry_equiv_pos_as_xyz
'x,y,z'
loop_
_atom_site_label
_atom_site_type_symbol
_atom_site_fract_x
_atom_site_fract_y
_atom_site_fract_z
_atom_site_occupancy
Ac1 Ac 0.000 0.000 0.000 1
Tb1 Tb 0.750 0.750 0.750 1
Nd1 Nd 0.250 0.250 0.250 1
Ag1 Ag 0.500 0.500 0.500 1
```

No. 9
Ac2NdAgTe5: relaxed, PBE-GGA.

Output
**Mass density**: 7.29 Mg/m³
**Calculated volume**: 306.2 Å³/f.u.
**Space group**: Cmc2_1, No. 36
**Energy**: -4.8220 eV/atom
**Uncorrected formation energy**: -1.317 eV/atom

The structure in CIF format:
```
data_Ac2NdAgTe5
_chemical_formula_sum 'Ac4 Nd2 Ag2 Te10'
_cell_length_a 10.069
_cell_length_b 10.069
_cell_length_c 13.642
_cell_angle_alpha 90.00
_cell_angle_beta 90.00
_cell_angle_gamma 153.72
_symmetry_space_group_name_H-M 'P 1'
_symmetry_Int_Tables_number 1
loop_
_symmetry_equiv_pos_as_xyz
'x,y,z'
loop_
_atom_site_label
_atom_site_type_symbol
_atom_site_fract_x
_atom_site_fract_y
_atom_site_fract_z
_atom_site_occupancy
Ac1 Ac 0.111 0.889 0.500 1
Ac2 Ac 0.124 0.876 0.123 1
Ac3 Ac 0.876 0.124 0.623 1
Ac4 Ac 0.889 0.111 0.000 1
Nd1 Nd 0.193 0.807 0.823 1
Nd2 Nd 0.807 0.193 0.323 1
Ag1 Ag 0.433 0.567 0.271 1
Ag2 Ag 0.567 0.433 0.771 1
Te1 Te 0.043 0.957 0.883 1
Te2 Te 0.288 0.712 0.484 1
Te3 Te 0.307 0.693 0.158 1
Te4 Te 0.358 0.642 0.815 1
Te5 Te 0.499 0.501 0.591 1
Te6 Te 0.501 0.499 0.091 1
Te7 Te 0.642 0.358 0.315 1
Te8 Te 0.693 0.307 0.658 1
Te9 Te 0.712 0.288 0.984 1
Te10 Te 0.957 0.043 0.383 1
```

No. 10
AcNdAg2Te4: relaxed, PBE-GGA.

Output
**Mass density**: 6.90 Mg/m³
**DOS at the Fermi energy**: 0.91 states/eV/f.u.
**Calculated volume**: 264.3 Å³/f.u.
**Space group**: I222, No. 23
**Energy**: -4.2314 eV/atom
**Uncorrected formation energy**: -0.838 eV/atom

The structure in CIF format:
```
data_AcNdAg2Te4
_chemical_formula_sum 'Ac1 Nd1 Ag2 Te4'
_cell_length_a 7.021
_cell_length_b 7.021
_cell_length_c 7.021
_cell_angle_alpha 113.64
_cell_angle_beta 111.31
_cell_angle_gamma 103.63
_symmetry_space_group_name_H-M 'P 1'
_symmetry_Int_Tables_number 1
loop_
_symmetry_equiv_pos_as_xyz
'x,y,z'
loop_
_atom_site_label
_atom_site_type_symbol
_atom_site_fract_x
_atom_site_fract_y
_atom_site_fract_z
_atom_site_occupancy
Ac1 Ac 0.000 0.000 0.000 1
Nd1 Nd 0.500 0.500 0.000 1
Ag1 Ag 0.337 0.837 0.500 1
Ag2 Ag 0.663 0.163 0.500 1
Te1 Te 0.069 0.064 0.533 1
Te2 Te 0.469 0.936 0.006 1
Te3 Te 0.531 0.536 0.467 1
Te4 Te 0.931 0.464 0.994 1
```

No. 11
Ac3Nd3TlAg2: relaxed, PBE-GGA.

Output
**Mass density**: 8.29 Mg/m³
**DOS at the Fermi energy**: 10.88 states/eV/f.u.
**Calculated volume**: 307.1 Å³/f.u.
**Space group**: P-62m, No. 189
**Energy**: -3.9267 eV/atom

The structure in CIF format:
```
data_Ac3Nd3TlAg2
_chemical_formula_sum 'Ac3 Nd3 Tl1 Ag2'
_cell_length_a 8.477
_cell_length_b 8.477
_cell_length_c 4.935
_cell_angle_alpha 90.00
_cell_angle_beta 90.00
_cell_angle_gamma 120.00
_symmetry_space_group_name_H-M 'P 1'
_symmetry_Int_Tables_number 1
loop_
_symmetry_equiv_pos_as_xyz
'x,y,z'
loop_
_atom_site_label
_atom_site_type_symbol
_atom_site_fract_x
_atom_site_fract_y
_atom_site_fract_z
_atom_site_occupancy
Ac1 Ac 0.000 0.277 0.000 1
Ac2 Ac 0.277 0.000 0.000 1
Ac3 Ac 0.723 0.723 0.000 1
Nd1 Nd 0.000 0.597 0.500 1
Nd2 Nd 0.403 0.403 0.500 1
Nd3 Nd 0.597 0.000 0.500 1
Tl1 Tl 0.000 0.000 0.500 1
Ag1 Ag 0.333 0.667 0.000 1
Ag2 Ag 0.667 0.333 0.000 1
```

No. 12
AcNdTlAg: relaxed, PBE-GGA.

Output
**Mass density**: 9.17 Mg/m³
**DOS at the Fermi energy**: 4.13 states/eV/f.u.
**Calculated volume**: 123.7 Å³/f.u.
**Space group**: F-43m, No. 216
**Energy**: -3.8158 eV/atom

The structure in CIF format:
```
data_AcNdTlAg
_chemical_formula_sum 'Ac1 Nd1 Tl1 Ag1'
_cell_length_a 5.593
_cell_length_b 5.593
_cell_length_c 5.593
_cell_angle_alpha 60.00
_cell_angle_beta 60.00
_cell_angle_gamma 60.00
_symmetry_space_group_name_H-M 'P 1'
_symmetry_Int_Tables_number 1
loop_
_symmetry_equiv_pos_as_xyz
'x,y,z'
loop_
_atom_site_label
_atom_site_type_symbol
_atom_site_fract_x
_atom_site_fract_y
_atom_site_fract_z
_atom_site_occupancy
Ac1 Ac 0.000 0.000 0.000 1
Nd1 Nd 0.500 0.500 0.500 1
Tl1 Tl 0.750 0.750 0.750 1
Ag1 Ag 0.250 0.250 0.250 1
```

No. 13
AcNdTlAg: relaxed, PBE-GGA.

Output
**Mass density**: 9.28 Mg/m³
**DOS at the Fermi energy**: 4.71 states/eV/f.u.
**Calculated volume**: 122.4 Å³/f.u.
**Space group**: P4mm, No. 99
**Energy**: -3.8251 eV/atom

The structure in CIF format:
```
data_AcNdTlAg
_chemical_formula_sum 'Ac1 Nd1 Tl1 Ag1'
_cell_length_a 3.873
_cell_length_b 3.873
_cell_length_c 8.155
_cell_angle_alpha 90.00
_cell_angle_beta 90.00
_cell_angle_gamma 90.00
_symmetry_space_group_name_H-M 'P 1'
_symmetry_Int_Tables_number 1
loop_
_symmetry_equiv_pos_as_xyz
'x,y,z'
loop_
_atom_site_label
_atom_site_type_symbol
_atom_site_fract_x
_atom_site_fract_y
_atom_site_fract_z
_atom_site_occupancy
Ac1 Ac 0.000 0.000 0.000 1
Nd1 Nd 0.000 0.000 0.525 1
Tl1 Tl 0.500 0.500 0.281 1
Ag1 Ag 0.500 0.500 0.739 1
```